VASP calculation (PBE) on crystalline RuSeCl2 at its relaxed geometry.

a b c (Å): 3.2820 7.1237 8.9364
angles (deg): 90.00 90.00 90.00
Last column: nearest neighbours and their distance in Å.
Space group Cmm2 (No. 35)
One atom of each set of equivalent atoms:
Ru  0.0000  0.0000  0.0000  2 Se 2.31, 2 Cl 2.44
Se  0.0000  0.5000  0.8185  2 Ru 2.31
Cl  0.0000  0.0000  0.5734  2 Se 2.74
Cl  0.0000  0.5000  0.2014  2 Ru 2.44

Computed properties:
**DFT total energy**: -31.167 eV/cell
**DOS at the Fermi energy**: 4.9 states/eV per cell
**ΔE to the lowest computed polymorph**: 53.3 kJ per mole of atoms
**Total magnetization**: 0.000 μB/atom



VASP calculation (PBE) on crystalline RuSe2Cl at its relaxed geometry.

a b c (Å): 6.5686 6.5686 6.5686
angles (deg): 90.00 90.00 90.00
Last column: nearest neighbours and their distance in Å.
Space group F-43m (No. 216)
One atom of each set of equivalent atoms:
Ru  0.0000  0.0000  0.0000  4 Cl 2.84, 4 Se 2.84
Se  0.0000  0.0000  0.5000  4 Cl 2.84, 4 Se 2.84
Se  0.2500  0.2500  0.2500  4 Se 2.84, 4 Ru 2.84
Cl  0.2500  0.2500  0.7500  4 Se 2.84, 4 Ru 2.84

Computed properties:
**DFT total energy**: -60.641 eV/cell
**DOS at the Fermi energy**: 17.5 states/eV per cell
**ΔE to the lowest computed polymorph**: 89.0 kJ per mole of atoms
**Total magnetization**: 0.342 μB/atom



VASP calculation (PBE) on crystalline SiRuSeCl2 at its relaxed geometry.

a b c (Å): 4.4661 4.4661 5.2718
angles (deg): 90.00 90.00 90.00
Last column: nearest neighbours and their distance in Å.
Space group P4/mmm (No. 123)
One atom of each set of equivalent atoms:
Si  0.0000  0.0000  0.0000  4 Cl 2.23
Ru  0.0000  0.0000  0.5000  2 Si 2.64
Se  0.5000  0.5000  0.5000  4 Ru 3.16, 8 Cl 3.45
Cl  0.0000  0.5000  0.0000  2 Si 2.23

Computed properties:
**DFT total energy**: -18.764 eV/cell
**DOS at the Fermi energy**: 4.8 states/eV per cell
**Total magnetization**: 0.564 μB/atom



VASP calculation (PBE) on crystalline Sm4RuSe2Cl at its relaxed geometry.

a b c (Å): 7.2729 4.0406 7.3412
angles (deg): 90.00 107.40 90.00
Last column: nearest neighbours and their distance in Å.
Space group P2/m (No. 10)
One atom of each set of equivalent atoms:
Sm  0.2260  0.0000  0.2305  2 Ru 2.83, 3 Se 2.93-3.10, 1 Cl 2.98
Sm  0.2273  0.5000  0.7565  1 Ru 2.77, 2 Se 2.92, 2 Cl 3.01
Ru  0.0000  0.5000  0.0000  6 Sm 2.77-2.83
Se  0.0000  0.0000  0.5000  6 Sm 2.92-2.93
Se  0.5000  0.5000  0.5000  6 Sm 3.10-3.12
Cl  0.5000  0.0000  0.0000  6 Sm 2.98-3.01

Computed properties:
**DFT total energy**: -47.286 eV/cell
**DOS at the Fermi energy**: 6.3 states/eV per cell
**Total magnetization**: 0.000 μB/atom



VASP calculation (PBE) on crystalline Si2RuCl at its relaxed geometry.

a b c (Å): 3.5462 3.5462 4.8796
angles (deg): 90.00 90.00 90.00
Last column: nearest neighbours and their distance in Å.
Space group P4/mmm (No. 123)
One atom of each set of equivalent atoms:
Si  0.0000  0.5000  0.0000  4 Si 2.51
Ru  0.0000  0.0000  0.5000  4 Cl 2.51
Cl  0.5000  0.5000  0.5000  4 Ru 2.51

Computed properties:
**DFT total energy**: -19.273 eV/cell
**DOS at the Fermi energy**: 3.5 states/eV per cell
**ΔE to the lowest computed polymorph**: 79.0 kJ per mole of atoms
**Total magnetization**: 0.000 μB/atom



VASP calculation (PBE) on crystalline Si2RuCl at its relaxed geometry.

a b c (Å): 2.9753 2.9753 7.0623
angles (deg): 90.00 90.00 90.00
Last column: nearest neighbours and their distance in Å.
Space group P4/mmm (No. 123)
One atom of each set of equivalent atoms:
Si  0.0000  0.0000  0.2057  4 Ru 2.56
Ru  0.5000  0.5000  0.0000  8 Si 2.56
Cl  0.5000  0.5000  0.5000  8 Si 2.96, 4 Cl 2.98

Computed properties:
**DFT total energy**: -21.981 eV/cell
**DOS at the Fermi energy**: 1.1 states/eV per cell
**ΔE to the lowest computed polymorph**: 13.7 kJ per mole of atoms
**Total magnetization**: 0.000 μB/atom



VASP calculation (PBE) on crystalline Si2RuCl at its relaxed geometry.

a b c (Å): 6.2982 6.2982 6.2982
angles (deg): 90.00 90.00 90.00
Last column: nearest neighbours and their distance in Å.
Space group Fm-3m (No. 225)
One atom of each set of equivalent atoms:
Si  0.2500  0.2500  0.2500  4 Cl 2.73, 4 Ru 2.73
Ru  0.0000  0.0000  0.0000  8 Si 2.73
Cl  0.0000  0.0000  0.5000  8 Si 2.73

Computed properties:
**DFT total energy**: -75.743 eV/cell
**DOS at the Fermi energy**: 15.2 states/eV per cell
**ΔE to the lowest computed polymorph**: 87.1 kJ per mole of atoms
**Total magnetization**: 0.226 μB/atom



VASP calculation (PBE) on crystalline Si2RuCl at its relaxed geometry.

a b c (Å): 2.8906 3.8172 15.2889
angles (deg): 90.00 90.00 90.00
Last column: nearest neighbours and their distance in Å.
Space group Imm2 (No. 44)
One atom of each set of equivalent atoms:
Si  0.0000  0.0000  0.0000  4 Ru 2.43
Si  0.0000  0.5000  0.1554  2 Ru 2.46, 4 Cl 2.72
Ru  0.0000  0.0000  0.5254  6 Si 2.43-2.46
Cl  0.0000  0.5000  0.7393  4 Si 2.72, 2 Cl 2.89

Computed properties:
**DFT total energy**: -43.659 eV/cell
**DOS at the Fermi energy**: 2.9 states/eV per cell
**ΔE to the lowest computed polymorph**: 17.3 kJ per mole of atoms
**Total magnetization**: 0.000 μB/atom



VASP calculation (PBE) on crystalline SiRuCl at its relaxed geometry.

a b c (Å): 3.1388 3.1388 5.6707
angles (deg): 90.00 90.00 120.00
Last column: nearest neighbours and their distance in Å.
Space group P3m1 (No. 156)
One atom of each set of equivalent atoms:
Si  0.0000  0.0000  0.0000  3 Ru 2.31
Ru  0.3333  0.6667  0.7481  3 Si 2.31
Cl  0.6667  0.3333  0.3431  3 Si 2.66, 3 Ru 2.93

Computed properties:
**DFT total energy**: -16.579 eV/cell
**DOS at the Fermi energy**: 0.9 states/eV per cell
**ΔE to the lowest computed polymorph**: 21.0 kJ per mole of atoms
**Total magnetization**: 0.000 μB/atom



VASP calculation (PBE) on crystalline Si2RuCl at its relaxed geometry.

a b c (Å): 7.2486 6.7943 2.8310
angles (deg): 90.00 112.53 90.00
Last column: nearest neighbours and their distance in Å.
Space group C2/m (No. 12)
One atom of each set of equivalent atoms:
Si  0.2500  0.2500  0.0000  2 Cl 2.49, 2 Ru 2.49
Ru  0.0000  0.0000  0.5000  4 Si 2.49
Cl  0.0000  0.5000  0.5000  4 Si 2.49

Computed properties:
**DFT total energy**: -42.001 eV/cell
**DOS at the Fermi energy**: 4.6 states/eV per cell
**ΔE to the lowest computed polymorph**: 37.3 kJ per mole of atoms
**Total magnetization**: 0.163 μB/atom



VASP calculation (PBE) on crystalline Si2RuCl at its relaxed geometry.

a b c (Å): 3.1577 3.1577 22.0915
angles (deg): 90.00 90.00 120.00
Last column: nearest neighbours and their distance in Å.
Space group R-3m (No. 166, hexagonal axes)
One atom of each set of equivalent atoms:
Si  0.0000  0.0000  0.2402  3 Ru 2.44
Ru  0.0000  0.0000  0.5000  6 Si 2.44
Cl  0.0000  0.0000  0.0000  6 Si 2.75

Computed properties:
**DFT total energy**: -66.756 eV/cell
**DOS at the Fermi energy**: 5.7 states/eV per cell
**ΔE to the lowest computed polymorph**: 7.1 kJ per mole of atoms
**Total magnetization**: 0.000 μB/atom



VASP calculation (PBE) on crystalline Si2RuCl at its relaxed geometry.

a b c (Å): 2.9832 2.9948 7.0564
angles (deg): 90.00 90.00 90.00
Last column: nearest neighbours and their distance in Å.
Space group Pmmm (No. 47)
One atom of each set of equivalent atoms:
Si  0.0000  0.0000  0.2022  4 Ru 2.55, 2 Cl 2.58, 1 Si 2.85
Ru  0.5000  0.5000  0.0000  8 Si 2.55
Cl  0.0000  0.5000  0.5000  4 Si 2.58

Computed properties:
**DFT total energy**: -22.547 eV/cell
**DOS at the Fermi energy**: 1.3 states/eV per cell
**ΔE to the lowest computed polymorph**: 0.0 kJ per mole of atoms
**Total magnetization**: 0.000 μB/atom



VASP calculation (PBE) on crystalline Si2RuCl at its relaxed geometry.

a b c (Å): 4.3073 3.3368 5.8145
angles (deg): 90.00 92.36 90.00
Last column: nearest neighbours and their distance in Å.
Space group Pm (No. 6)
One atom of each set of equivalent atoms:
Si  0.0000  0.0000  0.0000  1 Cl 2.20, 2 Ru 2.32, 2 Si 2.42
Si  0.3909  0.5000  0.0985  2 Ru 2.27-2.42, 2 Si 2.42
Ru  0.8799  0.5000  0.2586  4 Si 2.27-2.42
Cl  0.8198  0.0000  0.6405  1 Si 2.20

Computed properties:
**DFT total energy**: -21.933 eV/cell
**DOS at the Fermi energy**: 1.1 states/eV per cell
**ΔE to the lowest computed polymorph**: 14.8 kJ per mole of atoms
**Total magnetization**: 0.000 μB/atom



VASP calculation (PBE) on crystalline SiRuCl at its relaxed geometry.

a b c (Å): 5.8738 5.8738 5.8738
angles (deg): 90.00 90.00 90.00
Last column: nearest neighbours and their distance in Å.
Space group F-43m (No. 216)
One atom of each set of equivalent atoms:
Si  0.0000  0.0000  0.0000  4 Ru 2.54
Ru  0.2500  0.2500  0.2500  4 Cl 2.54, 4 Si 2.54
Cl  0.0000  0.0000  0.5000  4 Ru 2.54

Computed properties:
**DFT total energy**: -62.492 eV/cell
**DOS at the Fermi energy**: 14.0 states/eV per cell
**ΔE to the lowest computed polymorph**: 51.7 kJ per mole of atoms
**Total magnetization**: 0.000 μB/atom



VASP calculation (PBE) on crystalline Si2RuCl at its relaxed geometry.

a b c (Å): 3.9693 3.9693 7.5834
angles (deg): 90.00 90.00 90.00
Last column: nearest neighbours and their distance in Å.
Space group I4/mmm (No. 139)
One atom of each set of equivalent atoms:
Si  0.0000  0.5000  0.2500  4 Cl 2.74, 4 Ru 2.74, 4 Si 2.81
Ru  0.0000  0.0000  0.0000  8 Si 2.74, 4 Cl 2.81
Cl  0.0000  0.0000  0.5000  8 Si 2.74, 4 Ru 2.81

Computed properties:
**DFT total energy**: -39.414 eV/cell
**DOS at the Fermi energy**: 4.1 states/eV per cell
**ΔE to the lowest computed polymorph**: 68.5 kJ per mole of atoms
**Total magnetization**: 0.000 μB/atom